No. 1
! LiInN3 | Alexandria | PBE | relaxed; values from VASP
&SYSTEM
  ibrav = 0, nat = 5, ntyp = 3
/
ATOMIC_SPECIES
In 114.82 In.upf
N 14.01 N.upf
Li 6.94 Li.upf
CELL_PARAMETERS angstrom
-2.4974 2.6353 -0.5802
-1.9193 -1.1792 2.9059
1.8967 2.2767 2.1767
ATOMIC_POSITIONS crystal
In 0.5000 0.5000 0.5000
N 0.5000 0.0000 0.0000
N 0.0000 0.5000 0.0000
N 0.0000 0.0000 0.5000
Li 0.0000 0.0000 0.0000
! **Space group**: Pm-3m
! **Uncorrected energy**: -4.115 eV per atom
! **N(E_F)**: 0.47 states/eV per atom

=====

No. 2
! LiIn3N | Alexandria | PBE | relaxed; values from VASP
&SYSTEM
  ibrav = 0, nat = 5, ntyp = 3
/
ATOMIC_SPECIES
In 114.82 In.upf
N 14.01 N.upf
Li 6.94 Li.upf
CELL_PARAMETERS angstrom
-0.1685 2.8264 4.0609
-4.9226 0.3126 -0.4218
-0.4972 -4.0523 2.7998
ATOMIC_POSITIONS crystal
In 0.5000 0.0000 0.0000
In 0.0000 0.0000 0.5000
In 0.0000 0.5000 0.0000
N 0.5000 0.5000 0.5000
Li 0.0000 0.0000 0.0000
! **Space group**: Pm-3m
! **Uncorrected energy**: -2.625 eV per atom
! **N(E_F)**: 0.64 states/eV per atom

=====

No. 3
! LiInN3 | Alexandria | PBE | relaxed; values from VASP
&SYSTEM
  ibrav = 0, nat = 5, ntyp = 3
/
ATOMIC_SPECIES
In 114.82 In.upf
Li 6.94 Li.upf
N 14.01 N.upf
CELL_PARAMETERS angstrom
-1.4308 4.0110 -0.5615
-1.4964 -1.0769 -3.8797
-3.7636 -1.0968 1.7561
ATOMIC_POSITIONS crystal
In 0.0000 0.0000 0.0000
Li 0.5000 0.5000 0.5000
N 0.0000 0.0000 0.5000
N 0.5000 0.0000 0.0000
N 0.0000 0.5000 0.0000
! **Space group**: Pm-3m
! **Uncorrected energy**: -4.219 eV per atom
! **N(E_F)**: 0.45 states/eV per atom

=====

No. 4
! Li2InN2 | Alexandria | PBE | relaxed; values from VASP
&SYSTEM
  ibrav = 0, nat = 5, ntyp = 3
/
ATOMIC_SPECIES
In 114.82 In.upf
N 14.01 N.upf
Li 6.94 Li.upf
CELL_PARAMETERS angstrom
-0.1933 0.7944 3.3880
0.7610 -3.3015 0.8175
4.4773 -0.2840 2.1146
ATOMIC_POSITIONS crystal
In 0.0000 0.0000 0.0000
N 0.5998 0.5998 0.8005
N 0.4002 0.4002 0.1995
Li 0.2500 0.7500 0.5000
Li 0.7500 0.2500 0.5000
! **Space group**: I4/mmm
! **Uncorrected energy**: -4.298 eV per atom
! **N(E_F)**: 0.20 states/eV per atom

=====

No. 5
! LiInN | Alexandria | PBE | relaxed; values from VASP
&SYSTEM
  ibrav = 0, nat = 3, ntyp = 3
/
ATOMIC_SPECIES
Li 6.94 Li.upf
In 114.82 In.upf
N 14.01 N.upf
CELL_PARAMETERS angstrom
-0.8882 -3.4414 -1.6451
2.8377 -2.5772 -0.8027
0.2942 -3.3016 2.0860
ATOMIC_POSITIONS crystal
Li 0.0000 0.0000 0.0000
In 0.5000 0.5000 0.5000
N 0.2500 0.2500 0.2500
! **Space group**: F-43m
! **Uncorrected energy**: -4.156 eV per atom
! **N(E_F)**: 0.65 states/eV per atom

=====

No. 6
! Li4In2N | Alexandria | PBE | relaxed; values from VASP
&SYSTEM
  ibrav = 0, nat = 7, ntyp = 3
/
ATOMIC_SPECIES
In 114.82 In.upf
Li 6.94 Li.upf
N 14.01 N.upf
CELL_PARAMETERS angstrom
3.8912 0.0000 0.0000
0.0000 3.8912 0.0000
1.9456 1.9456 8.5071
ATOMIC_POSITIONS crystal
In 0.2967 0.2967 0.4066
In 0.7033 0.7033 0.5934
Li 0.5000 0.0000 0.0000
Li 0.8870 0.8870 0.2261
Li 0.1130 0.1130 0.7739
Li 0.0000 0.5000 0.0000
N 0.0000 0.0000 0.0000
! **Space group**: I4/mmm
! **Uncorrected energy**: -3.308 eV per atom
! **N(E_F)**: 0.21 states/eV per atom

=====

No. 7
! Li2In2N | Alexandria | PBE | relaxed; values from VASP
&SYSTEM
  ibrav = 0, nat = 5, ntyp = 3
/
ATOMIC_SPECIES
In 114.82 In.upf
Li 6.94 Li.upf
N 14.01 N.upf
CELL_PARAMETERS angstrom
3.9822 0.0000 0.0000
0.0000 3.9822 0.0000
1.9911 1.9911 7.3417
ATOMIC_POSITIONS crystal
In 0.2500 0.7500 0.5000
Li 0.4153 0.4153 0.1694
N 0.0000 0.0000 0.0000
In 0.7500 0.2500 0.5000
Li 0.5847 0.5847 0.8306
! **Space group**: I4/mmm
! **Uncorrected energy**: -2.694 eV per atom
! **N(E_F)**: 0.49 states/eV per atom

=====

No. 8
! Li2In2N | Alexandria | PBE | relaxed; values from VASP
&SYSTEM
  ibrav = 0, nat = 10, ntyp = 3
/
ATOMIC_SPECIES
In 114.82 In.upf
Li 6.94 Li.upf
N 14.01 N.upf
CELL_PARAMETERS angstrom
5.7899 0.0000 0.0000
0.0000 5.7899 0.0000
0.0000 0.0000 5.4893
ATOMIC_POSITIONS crystal
In 0.3127 0.1873 0.5000
Li 0.7890 0.7110 0.0000
Li 0.2890 0.7890 0.0000
In 0.8127 0.3127 0.5000
Li 0.7110 0.2110 0.0000
In 0.1873 0.6873 0.5000
N 0.0000 0.0000 0.0000
N 0.5000 0.5000 0.0000
Li 0.2110 0.2890 0.0000
In 0.6873 0.8127 0.5000
! **Space group**: P4/mbm
! **Uncorrected energy**: -3.325 eV per atom
! **N(E_F)**: 0.27 states/eV per atom

=====

No. 9
! LiInN | Alexandria | PBE | relaxed; values from VASP
&SYSTEM
  ibrav = 0, nat = 12, ntyp = 3
/
ATOMIC_SPECIES
Li 6.94 Li.upf
N 14.01 N.upf
In 114.82 In.upf
CELL_PARAMETERS angstrom
3.3629 0.0000 0.0000
0.0000 5.6618 0.0000
0.0000 0.0000 8.6673
ATOMIC_POSITIONS crystal
Li 0.7500 0.9038 0.9117
Li 0.2500 0.4038 0.5883
Li 0.7500 0.5962 0.4117
N 0.7500 0.6166 0.6587
In 0.2500 0.8813 0.6378
N 0.2500 0.1166 0.8413
In 0.7500 0.3813 0.8622
In 0.7500 0.1187 0.3622
Li 0.2500 0.0962 0.0883
N 0.7500 0.8834 0.1587
In 0.2500 0.6187 0.1378
N 0.2500 0.3834 0.3413
! **Space group**: Pnma
! **Uncorrected energy**: -4.438 eV per atom
! **N(E_F)**: 0.18 states/eV per atom

=====

No. 10
! LiIn3N | Alexandria | PBE | relaxed; values from VASP
&SYSTEM
  ibrav = 0, nat = 5, ntyp = 3
/
ATOMIC_SPECIES
In 114.82 In.upf
Li 6.94 Li.upf
N 14.01 N.upf
CELL_PARAMETERS angstrom
-2.9584 0.0628 -3.7720
3.7627 -0.2966 -2.9560
-0.2721 -4.7846 0.1338
ATOMIC_POSITIONS crystal
In 0.5000 0.0000 0.0000
Li 0.5000 0.5000 0.5000
In 0.0000 0.0000 0.5000
In 0.0000 0.5000 0.0000
N 0.0000 0.0000 0.0000
! **Space group**: Pm-3m
! **Uncorrected energy**: -3.262 eV per atom
! **N(E_F)**: 0.69 states/eV per atom

=====

No. 11
! Li2InN2 | Alexandria | PBE | relaxed; values from VASP
&SYSTEM
  ibrav = 0, nat = 10, ntyp = 3
/
ATOMIC_SPECIES
N 14.01 N.upf
In 114.82 In.upf
Li 6.94 Li.upf
CELL_PARAMETERS angstrom
-3.2139 -5.2190 2.0589
3.0887 -3.6268 -4.3718
2.3209 -0.5895 2.1288
ATOMIC_POSITIONS crystal
N 0.5718 0.0718 0.0000
In 0.5000 0.5000 0.0000
N 0.0718 0.4282 0.0000
Li 0.1365 0.6365 0.5000
N 0.4282 0.9282 0.0000
Li 0.6365 0.8635 0.5000
N 0.9282 0.5718 0.0000
Li 0.3635 0.1365 0.5000
Li 0.8635 0.3635 0.5000
In 0.0000 0.0000 0.0000
! **Space group**: P4/mbm
! **Uncorrected energy**: -4.577 eV per atom
! **N(E_F)**: 0.23 states/eV per atom

=====

No. 12
! LiNbIn2N | Alexandria | PBE | relaxed; values from VASP
&SYSTEM
  ibrav = 0, nat = 5, ntyp = 4
/
ATOMIC_SPECIES
Li 6.94 Li.upf
N 14.01 N.upf
In 114.82 In.upf
Nb 92.91 Nb.upf
CELL_PARAMETERS angstrom
-3.1169 -0.6080 4.4857
3.7865 -2.7408 2.2596
2.1034 4.6281 2.0889
ATOMIC_POSITIONS crystal
Li 0.0000 0.5000 0.0000
N 0.5000 0.5000 0.5000
In 0.0000 0.0000 0.5000
In 0.5000 0.0000 0.0000
Nb 0.0000 0.0000 0.0000
! **Space group**: P4/mmm
! **Uncorrected energy**: -3.199 eV per atom
! **N(E_F)**: 1.31 states/eV per atom

=====

Which formula does entry 3 have? LiInN3